# 1
Density functional theory data (PBE) for an optimized crystal structure of MgIn2Te.

Calculated values
Formation energy without anion corrections (eV/atom): -0.184
Total magnetization (Bohr magnetons per cell): 0.0
ΔE to the lowest computed polymorph (eV/f.u.): 0.00
Space group: Immm (71)
Final energy (eV/atom): -2.738

a = 6.6595 Å, b = 6.6595 Å, c = 4.2748 Å
α = 71.30°, β = 71.30°, γ = 38.34°
With the nearest neighbours (Å) after each atom.
Atoms (fractional coordinates):
Te 0.2500 0.2500 0.2500  4 Mg 3.06
In 0.4806 0.4806 0.5192  4 In 3.09
In 0.0194 0.0194 0.9808  4 In 3.09
Mg 0.7500 0.7500 0.7500  4 Te 3.06



# 2
Density functional theory data (PBE) for an optimized crystal structure of MgInTe.

Calculated values
Formation energy without anion corrections (eV/atom): -0.174
Total magnetization (Bohr magnetons per cell): 0.0
ΔE to the lowest computed polymorph (eV/f.u.): 0.40
Space group: F-43m (216)
Final energy (eV/atom): -2.665

a = 5.0800 Å, b = 5.0800 Å, c = 5.0800 Å
α = 60.00°, β = 60.00°, γ = 60.00°
With the nearest neighbours (Å) after each atom.
Atoms (fractional coordinates):
Mg 0.7500 0.7500 0.7500  4 In 3.11, 4 Te 3.11
In 0.5000 0.5000 0.5000  4 Mg 3.11
Te 0.0000 0.0000 0.0000  4 Mg 3.11



# 3
Density functional theory data (PBE) for an optimized crystal structure of Mg4InTe.

Calculated values
Formation energy without anion corrections (eV/atom): -0.001
Total magnetization (Bohr magnetons per cell): 0.0
Space group: F-43m (216)
Final energy (eV/atom): -2.044

a = 5.9360 Å, b = 5.9360 Å, c = 5.9360 Å
α = 60.00°, β = 60.00°, γ = 60.00°
With the nearest neighbours (Å) after each atom.
Atoms (fractional coordinates):
Te 0.7500 0.7500 0.7500  12 Mg 3.48, 4 In 3.64
Mg 0.3746 0.3746 0.8763  6 Mg 2.96-2.98
Mg 0.3746 0.3746 0.3746  6 Mg 2.96-2.98
In 0.0000 0.0000 0.0000  12 Mg 3.48, 4 Te 3.64
Mg 0.3746 0.8763 0.3746  6 Mg 2.96-2.98
Mg 0.8763 0.3746 0.3746  6 Mg 2.96-2.98



# 4
Density functional theory data (PBE) for an optimized crystal structure of MgIn2Te.

Calculated values
Formation energy without anion corrections (eV/atom): -0.139
Total magnetization (Bohr magnetons per cell): 0.0
ΔE to the lowest computed polymorph (eV/f.u.): 0.18
Space group: P4/mmm (123)
Final energy (eV/atom): -2.693

a = 4.3289 Å, b = 4.3289 Å, c = 5.9585 Å
α = 90.00°, β = 90.00°, γ = 90.00°
With the nearest neighbours (Å) after each atom.
Atoms (fractional coordinates):
In 0.5000 0.5000 0.0000  4 In 3.06
Mg 0.5000 0.0000 0.5000  4 Te 3.06
Te 0.0000 0.5000 0.5000  4 Mg 3.06
In 0.0000 0.0000 0.0000  4 In 3.06



# 5
Density functional theory data (PBE) for an optimized crystal structure of Mg3InTe.

Calculated values
Formation energy without anion corrections (eV/atom): 0.120
Total magnetization (Bohr magnetons per cell): 0.0
ΔE to the lowest computed polymorph (eV/f.u.): 0.00
Space group: Pm-3m (221)
Final energy (eV/atom): -2.013

a = 5.3294 Å, b = 5.3294 Å, c = 5.3294 Å
α = 90.00°, β = 90.00°, γ = 90.00°
With the nearest neighbours (Å) after each atom.
Atoms (fractional coordinates):
In 0.0000 0.0000 0.0000  6 Mg 2.66
Mg 0.5000 0.0000 0.0000  2 In 2.66
Mg 0.0000 0.5000 0.0000  2 In 2.66
Te 0.5000 0.5000 0.5000  12 Mg 3.77
Mg 0.0000 0.0000 0.5000  2 In 2.66



# 6
Density functional theory data (PBE) for an optimized crystal structure of MgInTe2.

Calculated values
Formation energy without anion corrections (eV/atom): -0.456
Total magnetization (Bohr magnetons per cell): 0.0
Space group: P3m1 (156)
Final energy (eV/atom): -3.110

a = 4.7228 Å, b = 4.7228 Å, c = 7.9787 Å
α = 90.00°, β = 90.00°, γ = 120.00°
With the nearest neighbours (Å) after each atom.
Atoms (fractional coordinates):
In 0.0000 0.0000 0.0062  4 Te 2.99-3.09
Mg 0.6667 0.3333 0.4983  4 Te 2.82-2.85
Te 0.6667 0.3333 0.8523  1 Mg 2.82, 3 In 2.99
Te 0.0000 0.0000 0.3932  3 Mg 2.85, 1 In 3.09



# 7
Density functional theory data (PBE) for an optimized crystal structure of MgInTe2.

Calculated values
Formation energy without anion corrections (eV/atom): -0.297
Total magnetization (Bohr magnetons per cell): 0.0
Space group: R3m (160)
Final energy (eV/atom): -2.952

a = 8.4145 Å, b = 8.4145 Å, c = 8.4145 Å
α = 30.79°, β = 30.79°, γ = 30.79°
With the nearest neighbours (Å) after each atom.
Atoms (fractional coordinates):
In 0.5053 0.5053 0.5053  3 Te 2.95
Mg 0.7335 0.7335 0.7335  3 Te 2.73
Te 0.0300 0.0300 0.0300  3 Mg 2.73
Te 0.2313 0.2313 0.2313  3 In 2.95



# 8
Density functional theory data (PBE) for an optimized crystal structure of MgIn2Te.

Calculated values
Formation energy without anion corrections (eV/atom): -0.051
Total magnetization (Bohr magnetons per cell): 0.0
ΔE to the lowest computed polymorph (eV/f.u.): 0.53
Space group: Cmmm (65)
Final energy (eV/atom): -2.604

a = 6.0979 Å, b = 6.0979 Å, c = 3.1848 Å
α = 90.00°, β = 90.00°, γ = 111.74°
With the nearest neighbours (Å) after each atom.
Atoms (fractional coordinates):
In 0.5000 0.5000 0.0000  4 In 3.18-3.42, 4 Te 3.44, 4 Mg 3.44
Te 0.0000 0.5000 0.5000  2 Te 3.18, 2 Mg 3.42, 8 In 3.44
In 0.0000 0.0000 0.0000  4 In 3.18-3.42, 4 Mg 3.44, 4 Te 3.44
Mg 0.5000 0.0000 0.5000  2 Mg 3.18, 2 Te 3.42, 8 In 3.44



# 9
Density functional theory data (PBE) for an optimized crystal structure of MgInTe2.

Calculated values
Formation energy without anion corrections (eV/atom): -0.186
Total magnetization (Bohr magnetons per cell): 0.0
Space group: R-3m (166)
Final energy (eV/atom): -2.840

a = 10.9435 Å, b = 10.9435 Å, c = 10.9435 Å
α = 19.29°, β = 19.29°, γ = 19.29°
With the nearest neighbours (Å) after each atom.
Atoms (fractional coordinates):
Te 0.8954 0.8954 0.8954  3 Mg 2.91
Te 0.1046 0.1046 0.1046  3 Mg 2.91
In 0.0000 0.0000 0.0000  2 Te 3.37, 6 In 3.67
Mg 0.5000 0.5000 0.5000  6 Te 2.91



# 10
Density functional theory data (PBE) for an optimized crystal structure of Mg2InTe2.

Calculated values
Formation energy without anion corrections (eV/atom): -0.406
Total magnetization (Bohr magnetons per cell): 0.0
ΔE to the lowest computed polymorph (eV/f.u.): 0.00
Space group: I4/mmm (139)
Final energy (eV/atom): -2.848

a = 4.6226 Å, b = 4.6226 Å, c = 8.0445 Å
α = 73.30°, β = 73.30°, γ = 90.00°
With the nearest neighbours (Å) after each atom.
Atoms (fractional coordinates):
Te 0.6338 0.6338 0.7324  4 Mg 2.87
In 0.0000 0.0000 0.0000  8 Te 3.81
Te 0.3662 0.3662 0.2676  4 Mg 2.87
Mg 0.7500 0.2500 0.5000  4 Te 2.87
Mg 0.2500 0.7500 0.5000  4 Te 2.87



# 11
Density functional theory data (PBE) for an optimized crystal structure of MgInTe.

Calculated values
Formation energy without anion corrections (eV/atom): -0.307
Total magnetization (Bohr magnetons per cell): 0.0
ΔE to the lowest computed polymorph (eV/f.u.): 0.00
Space group: P3m1 (156)
Final energy (eV/atom): -2.798

a = 4.2670 Å, b = 4.2670 Å, c = 5.6244 Å
α = 90.00°, β = 90.00°, γ = 120.00°
With the nearest neighbours (Å) after each atom.
Atoms (fractional coordinates):
Te 0.3333 0.6667 0.6299  3 Mg 2.88
Mg 0.6667 0.3333 0.3649  3 Te 2.88, 3 In 3.19
In 0.0000 0.0000 0.0053  3 Mg 3.19, 3 Te 3.24



# 12
Density functional theory data (PBE) for an optimized crystal structure of MgInTe2.

Calculated values
Formation energy without anion corrections (eV/atom): -0.277
Total magnetization (Bohr magnetons per cell): 0.0
Space group: C2/m (12)
Final energy (eV/atom): -2.931

a = 7.5020 Å, b = 6.1639 Å, c = 4.6170 Å
α = 64.06°, β = 95.93°, γ = 130.33°
With the nearest neighbours (Å) after each atom.
Atoms (fractional coordinates):
In 0.0000 0.5000 0.5000  4 Te 2.93
Te 0.0000 0.0000 0.0000  2 In 2.93, 2 Mg 2.93
Mg 0.5000 0.5000 0.0000  4 Te 2.93
Te 0.5000 0.0000 0.5000  2 Mg 2.93, 2 In 2.93



# 13
Density functional theory data (PBE) for an optimized crystal structure of Mg2In2Te5.

Calculated values
Formation energy without anion corrections (eV/atom): -0.408
Total magnetization (Bohr magnetons per cell): 0.0
Space group: C2/m (12)
Final energy (eV/atom): -3.117

a = 4.3767 Å, b = 7.6139 Å, c = 11.4391 Å
α = 106.18°, β = 101.03°, γ = 90.00°
With the nearest neighbours (Å) after each atom.
Atoms (fractional coordinates):
Mg 0.1106 0.8758 0.2211  4 Te 2.78-2.90
Te 0.8760 0.4787 0.7520  1 Mg 2.80, 2 In 2.85
Te 0.1240 0.5213 0.2480  1 Mg 2.80, 2 In 2.85
Te 0.0000 0.0000 0.0000  2 Mg 2.90
Te 0.3230 0.9453 0.6460  2 Mg 2.78, 1 In 2.80
Mg 0.8894 0.1242 0.7789  4 Te 2.78-2.90
Te 0.6770 0.0547 0.3540  2 Mg 2.78, 1 In 2.80
In 0.4053 0.7290 0.8107  3 Te 2.80-2.85
In 0.5947 0.2710 0.1893  3 Te 2.80-2.85



# 14
Density functional theory data (PBE) for an optimized crystal structure of MgInTe2.

Calculated values
Formation energy without anion corrections (eV/atom): -0.265
Total magnetization (Bohr magnetons per cell): 0.0
Space group: I-4m2 (119)
Final energy (eV/atom): -2.919

a = 8.6724 Å, b = 8.6724 Å, c = 8.6724 Å
α = 152.27°, β = 152.27°, γ = 39.61°
With the nearest neighbours (Å) after each atom.
Atoms (fractional coordinates):
Te 0.0000 0.0000 0.0000  4 In 2.94
Te 0.2500 0.7500 0.5000  4 Mg 2.94
Mg 0.7500 0.2500 0.5000  4 Te 2.94
In 0.5000 0.5000 0.0000  4 Te 2.94



# 15
Density functional theory data (PBE) for an optimized crystal structure of MgInTe2.

Calculated values
Formation energy without anion corrections (eV/atom): -0.420
Total magnetization (Bohr magnetons per cell): 0.0
Space group: Amm2 (38)
Final energy (eV/atom): -3.074

a = 8.5038 Å, b = 8.5038 Å, c = 4.2621 Å
α = 59.91°, β = 59.91°, γ = 27.55°
With the nearest neighbours (Å) after each atom.
Atoms (fractional coordinates):
Mg 0.2864 0.2864 0.3024  6 Te 3.05-3.22
Te 0.7283 0.7283 0.9180  1 In 2.92, 4 Mg 3.05
In 0.5221 0.5221 0.3310  5 Te 2.92-3.06
Te 0.9632 0.9632 0.9486  4 In 3.06, 2 Mg 3.22



# 16
Density functional theory data (PBE) for an optimized crystal structure of MgInTe2.

Calculated values
Formation energy without anion corrections (eV/atom): -0.525
Total magnetization (Bohr magnetons per cell): 0.0
Space group: Amm2 (38)
Final energy (eV/atom): -3.179

a = 6.1759 Å, b = 4.3328 Å, c = 4.3321 Å
α = 89.96°, β = 90.00°, γ = 90.00°
With the nearest neighbours (Å) after each atom.
Atoms (fractional coordinates):
In 0.0000 0.3769 0.3769  6 Te 3.06-3.09
Te 0.5000 0.3741 0.3744  4 Mg 3.05-3.08, 2 In 3.09
Te 0.0000 0.8764 0.8765  4 In 3.06-3.07, 2 Mg 3.09
Mg 0.5000 0.8726 0.8722  6 Te 3.05-3.09



# 17
Density functional theory data (PBE) for an optimized crystal structure of MgIn4Te.

Calculated values
Formation energy without anion corrections (eV/atom): 0.103
Total magnetization (Bohr magnetons per cell): 0.0
Space group: F-43m (216)
Final energy (eV/atom): -2.512

a = 6.2500 Å, b = 6.2500 Å, c = 6.2500 Å
α = 60.00°, β = 60.00°, γ = 60.00°
With the nearest neighbours (Å) after each atom.
Atoms (fractional coordinates):
In 0.3752 0.3752 0.8744  6 In 3.12-3.13
Mg 0.7500 0.7500 0.7500  12 In 3.66, 4 Te 3.83
Te 0.0000 0.0000 0.0000  12 In 3.66, 4 Mg 3.83
In 0.3752 0.8744 0.3752  6 In 3.12-3.13
In 0.8744 0.3752 0.3752  6 In 3.12-3.13
In 0.3752 0.3752 0.3752  6 In 3.12-3.13



# 18
Density functional theory data (PBE) for an optimized crystal structure of MgIn2Te.

Calculated values
Formation energy without anion corrections (eV/atom): -0.125
Total magnetization (Bohr magnetons per cell): 0.0
ΔE to the lowest computed polymorph (eV/f.u.): 0.24
Space group: Imm2 (44)
Final energy (eV/atom): -2.679

a = 6.3133 Å, b = 6.3133 Å, c = 6.3133 Å
α = 143.22°, β = 131.67°, γ = 62.23°
With the nearest neighbours (Å) after each atom.
Atoms (fractional coordinates):
Te 0.7182 0.2182 0.5000  2 Mg 2.93
Mg 0.5191 0.5191 0.0000  2 Te 2.93, 4 In 3.27
In 0.2694 0.7694 0.5000  4 Te 3.31, 2 Mg 3.35, 4 In 3.54-3.59
In 0.9933 0.9933 0.0000  4 Mg 3.27, 4 In 3.54-3.59, 4 Te 3.55-3.58



# 19
Density functional theory data (PBE) for an optimized crystal structure of MgInTe2.

Calculated values
Formation energy without anion corrections (eV/atom): -0.529
Total magnetization (Bohr magnetons per cell): 0.0
Space group: R-3m (166)
Final energy (eV/atom): -3.183

a = 4.3239 Å, b = 4.3239 Å, c = 7.5774 Å
α = 73.45°, β = 73.45°, γ = 60.07°
With the nearest neighbours (Å) after each atom.
Atoms (fractional coordinates):
Mg 0.2500 0.2500 0.2500  6 Te 3.00
Te 0.9936 0.9936 0.0181  3 Mg 3.00, 3 In 3.15
In 0.7500 0.7500 0.7500  6 Te 3.15
Te 0.5064 0.5064 0.4819  3 Mg 3.00, 3 In 3.15



# 20
Density functional theory data (PBE) for an optimized crystal structure of MgIn2Te.

Calculated values
Formation energy without anion corrections (eV/atom): 0.036
Total magnetization (Bohr magnetons per cell): 0.0
ΔE to the lowest computed polymorph (eV/f.u.): 0.88
Space group: Cmmm (65)
Final energy (eV/atom): -2.517

a = 3.2256 Å, b = 3.2256 Å, c = 10.5308 Å
α = 90.00°, β = 90.00°, γ = 99.72°
With the nearest neighbours (Å) after each atom.
Atoms (fractional coordinates):
Mg 0.5000 0.5000 0.2500  8 In 3.15-3.42, 4 Mg 3.23
Te 0.5000 0.5000 0.7500  4 Te 3.23, 4 In 3.56
In 0.0000 0.0000 0.4753  4 Mg 3.15-3.42, 4 In 3.23
In 0.0000 0.0000 0.0247  4 Mg 3.15-3.42, 4 In 3.23